A plane-wave DFT calculation with PBE-GGA was carried out for an optimized crystal structure of NaPb2.

abc: 6.6100 6.6100 6.6100
angles: 60.00 60.00 60.00
Element x y z (fractional)
Pb1 0.1250 0.6250 0.6250
Pb2 0.6250 0.6250 0.6250
Pb3 0.6250 0.6250 0.1250
Pb4 0.6250 0.1250 0.6250
Na1 0.2500 0.2500 0.2500
Na2 0.0000 0.0000 0.0000

Results
The calculation puts the relative energy among the computed polymorphs at 21 kJ/mol of formula units. Its space-group type is Fd-3m, No. 227. The crystal system is cubic. The calculation puts the formation energy from the elements at -0.0446 eV/atom.

A plane-wave DFT calculation with PBE-GGA was carried out for an optimized crystal structure of NaSr4Dy3Se8.

abc: 8.5100 8.5566 8.5104
angles: 119.82 120.00 90.00
Element x y z (fractional)
Dy1 0.5000 0.5000 0.0000
Dy2 0.0000 0.5000 0.5000
Dy3 0.5000 0.5000 0.5000
Se1 0.2633 0.2696 0.0165
Se2 0.2468 0.7304 0.9835
Se3 0.2568 0.2704 0.5136
Se4 0.7531 0.2696 0.5063
Se5 0.7432 0.7296 0.4864
Se6 0.7367 0.7304 0.9835
Se7 0.2469 0.7304 0.4937
Se8 0.7532 0.2696 0.0165
Na1 0.0000 0.5000 0.0000
Sr1 0.5000 0.0000 0.5000
Sr2 0.5000 0.0000 0.0000
Sr3 0.0000 0.0000 0.0000
Sr4 0.0000 0.0000 0.5000

Results
Its space-group type is R-3m, No. 166. The crystal system is trigonal. The value obtained for the uncorrected formation energy is -1.873 eV/atom.

A plane-wave DFT calculation with PBE-GGA was carried out for an optimized crystal structure of LiCeEr2Hg4.

abc: 5.1172 5.1172 9.2365
angles: 73.92 73.92 60.00
Last column: magnetic moment on the atom in μB.
Element x y z (fractional)
Hg1 0.3838 0.3838 0.8486  0.01
Hg2 0.1273 0.1273 0.6180  0.00
Hg3 0.8727 0.8727 0.3820  0.00
Hg4 0.6162 0.6162 0.1514  0.01
Li1 0.5000 0.5000 0.5000  0.00
Ce1 0.0000 0.0000 0.0000  0.79
Er1 0.2441 0.2441 0.2676  0.03
Er2 0.7559 0.7559 0.7324  0.03

Results
Its space-group type is R-3m, No. 166. The crystal system is trigonal. The calculation puts the formation energy from the elements at -0.3910 eV/atom.

A plane-wave DFT calculation with PBE-GGA was carried out for an optimized crystal structure of Cu8PdAu3.

abc: 6.4979 6.4979 6.4979
angles: 96.66 116.23 116.23
Element x y z (fractional)
Cu1 0.5062 0.7412 0.7412
Cu2 0.7275 0.1065 0.1065
Cu3 0.0000 0.7651 0.2588
Cu4 0.2725 0.3790 0.3790
Cu5 0.0000 0.6210 0.8935
Cu6 0.0000 0.8935 0.6210
Cu7 0.0000 0.2588 0.7651
Cu8 0.4938 0.2349 0.2349
Pd1 0.0000 0.0000 0.0000
Au1 0.0000 0.5000 0.5000
Au2 0.5000 0.2500 0.7500
Au3 0.5000 0.7500 0.2500

Results
Its space-group type is I-42m, No. 121. The crystal system is tetragonal. The calculation puts the formation energy from the elements at 0.4024 eV/atom.

A plane-wave DFT calculation with PBE-GGA was carried out for an optimized crystal structure of Mg4Sc5Ag2.

abc: 3.3953 7.9109 18.2378
angles: 90.00 90.00 90.00
Element x y z (fractional)
Mg1 0.5000 0.2070 0.0673
Mg2 0.5000 0.2930 0.5673
Mg3 0.5000 0.9289 0.6487
Mg4 0.5000 0.7070 0.4327
Mg5 0.5000 0.4289 0.8513
Mg6 0.5000 0.7930 0.9327
Mg7 0.5000 0.0711 0.3513
Mg8 0.5000 0.5711 0.1487
Sc1 0.0000 0.0000 0.5000
Sc2 0.0000 0.6251 0.5750
Sc3 0.0000 0.2553 0.7152
Sc4 0.0000 0.7447 0.2848
Sc5 0.0000 0.1251 0.9250
Sc6 0.0000 0.2447 0.2152
Sc7 0.0000 0.3749 0.4250
Sc8 0.0000 0.8749 0.0750
Sc9 0.0000 0.5000 0.0000
Sc10 0.0000 0.7553 0.7848
Ag1 0.5000 0.5456 0.6956
Ag2 0.5000 0.9544 0.1956
Ag3 0.5000 0.4544 0.3044
Ag4 0.5000 0.0456 0.8044

Results
Its space-group type is Pbam, No. 55. The crystal system is orthorhombic. The calculation puts the formation energy from the elements at -0.1280 eV/atom.

A plane-wave DFT calculation with PBE-GGA was carried out for an optimized crystal structure of GaSn5Pd3.

abc: 7.2965 7.2965 9.9227
angles: 65.55 65.55 79.10
Element x y z (fractional)
Sn1 0.4104 0.9606 0.3977
Sn2 0.2941 0.7059 0.0000
Sn3 0.0394 0.5896 0.6023
Sn4 0.7059 0.2941 0.0000
Sn5 0.2467 0.2467 0.9847
Sn6 0.5558 0.5558 0.6435
Sn7 0.4442 0.4442 0.3565
Sn8 0.9606 0.4104 0.3977
Sn9 0.5896 0.0394 0.6023
Sn10 0.7533 0.7533 0.0153
Pd1 0.3095 0.3095 0.2023
Pd2 0.2992 0.2992 0.6937
Pd3 0.7008 0.7008 0.3063
Pd4 0.0000 0.0000 0.0000
Pd5 0.0000 0.0000 0.5000
Pd6 0.6905 0.6905 0.7977
Ga1 0.9359 0.9359 0.2921
Ga2 0.0641 0.0641 0.7079

Results
Its space-group type is C2/m, No. 12. The crystal system is monoclinic. The calculation puts the formation energy from the elements at -0.2659 eV/atom.

A plane-wave DFT calculation with PBE-GGA was carried out for an optimized crystal structure of PdClF2.

abc: 5.4881 5.4881 5.9418
angles: 91.33 117.59 118.25
Element x y z (fractional)
Cl1 0.8764 0.5107 0.5790
Cl2 0.5683 0.7026 0.0790
Pd1 0.0857 0.7888 0.3485
Pd2 0.0596 0.2628 0.8485
F1 0.5712 0.9034 0.6044
F2 0.1829 0.1345 0.6045
F3 0.2010 0.0333 0.1044
F4 0.9700 0.4216 0.1045

Results
The calculation puts the relative energy among the computed polymorphs at 0 kJ/mol of formula units. Its space-group type is Cc, No. 9. The crystal system is monoclinic. The value obtained for the uncorrected formation energy is -0.934 eV/atom.

A plane-wave DFT calculation with PBE-GGA was carried out for an optimized crystal structure of RbNaAlF6.

abc: 5.7176 5.7171 5.6706
angles: 90.01 89.98 59.96
Last column: magnetic moment on the atom in μB.
Element x y z (fractional)
Al1 0.3333 0.3334 0.5000  -0.01
F1 0.0645 0.5888 0.6827  0.16
F2 0.5889 0.0647 0.3174  0.16
F3 0.5881 0.3470 0.6832  0.16
F4 0.0652 0.3464 0.3170  0.16
F5 0.3468 0.5882 0.3169  0.16
F6 0.3465 0.0651 0.6830  0.16
Na1 0.6665 0.6665 0.4999  0.00
Rb1 0.9999 0.9999 0.9999  0.00

Results
Its space-group type is P312, No. 149. The crystal system is trigonal. The value obtained for the uncorrected formation energy is -2.834 eV/atom.